Run 1
Entry from OQMD: a relaxed PbAu7 crystal (PBE-GGA).

Values from the calculation:
Crystal system ... triclinic
Volume ... 24.439 Å³ per atom

Lattice parameters (Å, degrees): 2.9876 3.0012 43.6110 89.82 89.80 89.99
With the nearest neighbours (Å) after each atom.
Sites, in units of the cell vectors:
Au1 0.0008 0.5008 0.1999  8 Au 2.95-3.00, 4 Pb 3.16-3.17
Au2 0.5004 0.0004 0.2472  12 Au 2.92-3.00
Au3 0.0004 0.5004 0.2935  12 Au 2.92-3.00
Au4 0.5003 0.0003 0.3399  12 Au 2.90-3.00
Au5 0.0001 0.5002 0.3856  12 Au 2.90-3.00
Au6 0.5001 0.0002 0.4316  12 Au 2.90-3.00
Au7 0.0001 0.5001 0.4772  12 Au 2.90-3.00
Au8 0.4999 0.9999 0.5227  12 Au 2.90-3.00
Au9 0.9999 0.4998 0.5684  12 Au 2.90-3.00
Au10 0.4998 0.9998 0.6143  12 Au 2.90-3.00
Au11 0.9997 0.4997 0.6601  12 Au 2.90-3.00
Au12 0.4996 0.9996 0.7065  12 Au 2.92-3.00
Au13 0.9996 0.4996 0.7529  12 Au 2.92-3.00
Au14 0.4992 0.9992 0.8001  8 Au 2.95-3.00, 4 Pb 3.16-3.17
Pb1 0.5005 0.0005 0.1459  4 Pb 2.99-3.00, 4 Au 3.16-3.17
Pb2 0.9995 0.4996 0.8541  4 Pb 2.99-3.00, 4 Au 3.16-3.17

=====

Run 2
Entry from OQMD: a relaxed PbAu7 crystal (PBE-GGA).

Values from the calculation:
Crystal system ... orthorhombic
Volume ... 25.013 Å³ per atom

Lattice parameters (Å, degrees): 3.0158 3.9374 33.7034 90.00 90.00 90.00
With the nearest neighbours (Å) after each atom.
Sites, in units of the cell vectors:
Au1 0.5000 0.5000 0.2051  7 Au 2.93-3.10, 4 Pb 3.06
Au2 0.0000 0.0000 0.2512  11 Au 2.92-3.06
Au3 0.5000 0.5000 0.2970  12 Au 2.91-3.10
Au4 0.0000 0.0000 0.3420  12 Au 2.91-3.06
Au5 0.5000 0.5000 0.3871  12 Au 2.91-3.04
Au6 0.0000 0.0000 0.4324  12 Au 2.91-3.05
Au7 0.5000 0.5000 0.4774  12 Au 2.91-3.04
Au8 0.0000 0.0000 0.5227  12 Au 2.91-3.04
Au9 0.5000 0.5000 0.5677  12 Au 2.91-3.05
Au10 0.0000 0.0000 0.6129  12 Au 2.91-3.04
Au11 0.5000 0.5000 0.6580  12 Au 2.91-3.06
Au12 0.0000 0.0000 0.7030  12 Au 2.91-3.10
Au13 0.5000 0.5000 0.7487  11 Au 2.92-3.06
Au14 0.0000 0.0000 0.7949  7 Au 2.93-3.10, 4 Pb 3.06
Pb1 0.0000 0.0000 0.1520  2 Pb 3.02, 5 Au 3.06-3.34
Pb2 0.5000 0.5000 0.8480  2 Pb 3.02, 5 Au 3.06-3.34

=====

Which structure loses on stability? run 1 does.

=====

Run 1
Entry from OQMD: a relaxed PrPbAuS3 crystal (PBE-GGA).

Values from the calculation:
Crystal system ... orthorhombic
Volume ... 24.253 Å³ per atom

Lattice parameters (Å, degrees): 6.9697 6.9697 10.7122 90.00 90.00 145.99
With the nearest neighbours (Å) after each atom.
Sites, in units of the cell vectors:
Au1 0.5320 0.4680 0.2500  4 S 2.50-2.62
Au2 0.4680 0.5320 0.7500  4 S 2.50-2.62
Pb1 0.2402 0.7598 0.2500  6 S 3.03-3.12
Pb2 0.7598 0.2402 0.7500  6 S 3.03-3.12
Pr1 0.0000 0.0000 0.0000  6 S 2.89-2.94
Pr2 0.0000 0.0000 0.5000  6 S 2.89-2.94
S1 0.6447 0.3553 0.0637  1 Au 2.50
S2 0.9085 0.0915 0.2500  2 Au 2.62
S3 0.6447 0.3553 0.4363  1 Au 2.50
S4 0.3553 0.6447 0.5637  1 Au 2.50
S5 0.0915 0.9085 0.7500  2 Au 2.62
S6 0.3553 0.6447 0.9363  1 Au 2.50

=====

Run 2
Entry from OQMD: a relaxed PrPbAuS3 crystal (PBE-GGA).

Values from the calculation:
Crystal system ... monoclinic
Volume ... 25.337 Å³ per atom

Lattice parameters (Å, degrees): 7.7056 4.1092 9.9641 90.00 105.49 90.00
With the nearest neighbours (Å) after each atom.
Sites, in units of the cell vectors:
Au1 0.6346 0.2500 0.0802  3 S 2.54
Au2 0.3654 0.7500 0.9198  3 S 2.54
Pb1 0.2228 0.7500 0.1981  7 S 3.06-3.14, 1 Au 3.24
Pb2 0.7772 0.2500 0.8019  7 S 3.06-3.14, 1 Au 3.24
Pr1 0.7984 0.7500 0.3388  6 S 2.85-2.95
Pr2 0.2016 0.2500 0.6612  6 S 2.85-2.95
S1 0.8125 0.7500 0.0456  2 Au 2.54
S2 0.5332 0.2500 0.3022  1 Au 2.54
S3 0.0722 0.2500 0.3655  3 Pr 2.85-2.91, 2 Pb 3.06
S4 0.9278 0.7500 0.6345  3 Pr 2.85-2.91, 2 Pb 3.06
S5 0.4668 0.7500 0.6978  1 Au 2.54
S6 0.1875 0.2500 0.9544  2 Au 2.54

=====

Which structure loses on stability? run 2 does.

=====

Run 1
Entry from OQMD: a relaxed RbPb2Au2 crystal (PBE-GGA).

Values from the calculation:
Crystal system ... monoclinic
Volume ... 31.284 Å³ per atom

Lattice parameters (Å, degrees): 6.5967 6.5967 5.5577 106.68 106.68 42.83
With the nearest neighbours (Å) after each atom.
Sites, in units of the cell vectors:
Au1 0.7460 0.7460 0.1447  2 Au 2.92, 4 Pb 2.92-3.02
Au2 0.2540 0.2540 0.8553  2 Au 2.92, 4 Pb 2.92-3.02
Pb1 0.3448 0.3448 0.4257  4 Au 2.92-3.02
Pb2 0.6552 0.6552 0.5743  4 Au 2.92-3.02
Rb1 0.0000 0.0000 0.0000  6 Au 3.45-3.75

=====

Run 2
Entry from OQMD: a relaxed RbPb2Au2 crystal (PBE-GGA).

Values from the calculation:
Crystal system ... tetragonal
Volume ... 29.687 Å³ per atom

Lattice parameters (Å, degrees): 7.1226 7.1226 7.1226 139.92 139.92 57.97
With the nearest neighbours (Å) after each atom.
Sites, in units of the cell vectors:
Au1 0.3891 0.3891 0.0000  1 Au 2.76, 4 Pb 2.99
Au2 0.6109 0.6109 0.0000  1 Au 2.76, 4 Pb 2.99
Pb1 0.7500 0.2500 0.5000  4 Au 2.99
Pb2 0.2500 0.7500 0.5000  4 Au 2.99
Rb1 0.0000 0.0000 0.0000  8 Au 3.72, 8 Pb 3.96

=====

Which structure loses on stability? run 2 does.